Material: Ba2AcBi2I2
Method: DFT, GGA-PBE
State: optimized geometry

Output
ΔE_f (raw), eV per formula unit: -7.41
Crystal system: tetragonal
Energy, eV/atom: -3.747

Cell: 6.3928 6.3928 17.7782 Å, 90.00 90.00 90.00°
Space group I4/mmm (No. 139)
One atom of each set of equivalent atoms:
1 Ba 0.0000 0.0000 0.1173 [4 per cell]
2 Ac 0.0000 0.0000 0.5000 [2 per cell]
3 Bi 0.0000 0.5000 0.0000 [4 per cell]
4 I 0.0000 0.0000 0.3094 [4 per cell]

Material: ScZnHRu2
Method: DFT, GGA-PBE
State: optimized geometry

Output
Energy relative to the lowest polymorph listed for this composition, meV per atom: 0.0
Crystal system: tetragonal
Energy, eV/atom: -6.135

Cell: 3.9637 3.9637 4.0252 Å, 90.00 90.00 90.00°
Space group P4/mmm (No. 123)
One atom of each set of equivalent atoms:
1 Sc 0.0000 0.0000 0.0000 [1 per cell]
2 Zn 0.5000 0.5000 0.0000 [1 per cell]
3 H 0.0000 0.0000 0.5000 [1 per cell]
4 Ru 0.0000 0.5000 0.5000 [2 per cell]

Material: K2LaP
Method: DFT, GGA-PBE
State: optimized geometry

Output
Energy of formation from the pure elements, eV per atom: -0.48
Crystal system: monoclinic
Energy, eV/atom: -3.610

Cell: 21.4750 4.0164 4.3269 Å, 90.00 101.39 90.00°
Space group C2/m (No. 12)
One atom of each set of equivalent atoms:
1 K 0.1595 0.0000 0.1564 [4 per cell]
2 La 0.0000 0.0000 0.5000 [2 per cell]
3 P 0.0000 0.5000 0.0000 [2 per cell]

Material: LaErO2
Method: DFT, GGA-PBE
State: optimized geometry

Output
Energy relative to the lowest polymorph listed for this composition, meV per atom: 94.4
ΔE_f (raw), eV per formula unit: -11.01
Crystal system: trigonal
Energy, eV/atom: -7.605

Cell: 3.4428 3.4428 18.6394 Å, 90.00 90.00 120.00°
Space group R3m (No. 160, hexagonal axes)
One atom of each set of equivalent atoms:
1 La 0.0000 0.0000 0.0000 [3 per cell]
2 Er 0.0000 0.0000 0.8238 [3 per cell]
3 O 0.0000 0.0000 0.2247 [3 per cell]
4 O 0.0000 0.0000 0.4293 [3 per cell]

Material: LiCoPbAu2
Method: DFT, GGA-PBE
State: optimized geometry

Output
Energy of formation from the pure elements, eV per atom: 0.74
Crystal system: tetragonal
Energy, eV/atom: -3.114

Cell: 5.3636 5.3636 4.9797 Å, 90.00 90.00 90.00°
Space group P4/mmm (No. 123)
One atom of each set of equivalent atoms:
1 Li 0.0000 0.0000 0.0000 [1 per cell]
2 Co 0.5000 0.5000 0.0000 [1 per cell]
3 Pb 0.5000 0.5000 0.5000 [1 per cell]
4 Au 0.0000 0.5000 0.5000 [2 per cell]

Material: Sr8HPt2
Method: DFT, GGA-PBE
State: optimized geometry

Output
Crystal system: trigonal
Energy, eV/atom: -2.883

Cell: 9.1661 9.1661 6.3654 Å, 90.00 90.00 120.00°
Space group P-3m1 (No. 164)
One atom of each set of equivalent atoms:
1 Sr 0.1522 0.3043 0.2439 [6 per cell]
2 Sr 0.3333 0.6667 0.7426 [2 per cell]
3 H 0.0000 0.0000 0.0000 [1 per cell]
4 Pt 0.3333 0.6667 0.2458 [2 per cell]